DFT (PBE) results for a relaxed structure of La4IrSeCl2.

Properties
Its raw total energy is -6.00 eV per atom. The total magnetization comes out at 0.000 μB per atom. The density of states at the Fermi level is 6.306 states/eV per cell. The uncorrected formation energy comes out at -1.53 eV per atom.

a = 7.392 Å, b = 4.150 Å, c = 7.680 Å
α = 90.00°, β = 108.73°, γ = 90.00°
Space group P2/m (No. 10)
Unique sites:
La1 0.222 0.000 0.222 x2
La2 0.240 0.500 0.757 x2
Ir1 0.000 0.500 0.000 x1
Se1 0.000 0.000 0.500 x1
Cl1 0.500 0.000 0.000 x1
Cl2 0.500 0.500 0.500 x1